# ErTiGaIr PBE optimized geometry
data_ErTiGaIr
_chemical_formula_sum 'Er1 Ti1 Ga1 Ir1'
_space_group_name_H-M_alt 'P 1'
_space_group_IT_number 1
_space_group_name_Hall 'P 1'
_cell_length_a 4.6883
_cell_length_b 4.6883
_cell_length_c 4.6883
_cell_angle_alpha 60.00
_cell_angle_beta 60.00
_cell_angle_gamma 60.00
loop_
_atom_site_label
_atom_site_type_symbol
_atom_site_fract_x
_atom_site_fract_y
_atom_site_fract_z
Er1 Er 0.0000 0.0000 0.0000
Ti1 Ti 0.5000 0.5000 0.5000
Ga1 Ga 0.2500 0.2500 0.2500
Ir1 Ir 0.7500 0.7500 0.7500
# - symmetry = F-43m (216)
# - calculated total energy (eV per cell) = -26.4


# NdAl3CuAu PBE optimized geometry
data_NdAl3CuAu
_chemical_formula_sum 'Nd2 Al6 Cu2 Au2'
_space_group_name_H-M_alt 'P 1'
_space_group_IT_number 1
_space_group_name_Hall 'P 1'
_cell_length_a 6.9320
_cell_length_b 6.9320
_cell_length_c 6.0243
_cell_angle_alpha 90.00
_cell_angle_beta 90.00
_cell_angle_gamma 126.59
loop_
_atom_site_label
_atom_site_type_symbol
_atom_site_fract_x
_atom_site_fract_y
_atom_site_fract_z
Nd1 Nd 0.2146 0.7854 0.7500
Nd2 Nd 0.7854 0.2146 0.2500
Al1 Al 0.2135 0.2135 0.0000
Al2 Al 0.2135 0.2135 0.5000
Al3 Al 0.3610 0.6390 0.2500
Al4 Al 0.6390 0.3610 0.7500
Al5 Al 0.7865 0.7865 0.0000
Al6 Al 0.7865 0.7865 0.5000
Cu1 Cu 0.4357 0.5643 0.7500
Cu2 Cu 0.5643 0.4357 0.2500
Au1 Au 0.1502 0.8498 0.2500
Au2 Au 0.8498 0.1502 0.7500
# - symmetry = Cmcm (63)
# - calculated total energy (eV per cell) = -50.5


no.,DFT formation energy (eV per atom)
1,-0.51
2,-0.31